# CaNiW2 GGA-PBE optimized geometry
# energy relative to the elements	2.6	eV per formula unit
# DFT total energy	-7.768	eV/atom
# energy relative to the lowest polymorph listed for this composition	217	meV per atom
data_CaNiW2
_chemical_formula_sum 'Ca1 Ni1 W2'
_cell_length_a 3.091
_cell_length_b 4.415
_cell_length_c 5.053
_cell_angle_alpha 90.00
_cell_angle_beta 90.00
_cell_angle_gamma 90.00
_symmetry_space_group_name_H-M 'P m m m'
_symmetry_Int_Tables_number 47
_symmetry_space_group_name_Hall '-P 2 2'
loop_
_atom_site_label
_atom_site_fract_x
_atom_site_fract_y
_atom_site_fract_z
Ca1 0.000 0.000 0.000
Ni1 0.500 0.500 0.000
W1 0.000 0.500 0.500
W2 0.500 0.000 0.500



# BaU2PdSe5 GGA-PBE optimized geometry
# raw formation energy	-116.4	kJ per mole of atoms
# DFT total energy	-6.441	eV/atom
data_BaU2PdSe5
_chemical_formula_sum 'Ba4 U8 Pd4 Se20'
_cell_length_a 7.844
_cell_length_b 7.844
_cell_length_c 14.718
_cell_angle_alpha 90.00
_cell_angle_beta 90.00
_cell_angle_gamma 90.00
_symmetry_space_group_name_H-M 'I 4/m c m'
_symmetry_Int_Tables_number 140
_symmetry_space_group_name_Hall '-I 4 2c'
loop_
_atom_site_label
_atom_site_fract_x
_atom_site_fract_y
_atom_site_fract_z
Ba1 0.000 0.000 0.250
U1 0.151 0.349 0.000
Pd1 0.000 0.500 0.250
Se1 0.000 0.000 0.000
Se2 0.155 0.345 0.375